No. 1
VASP calculation (PBE) on a relaxed NbNi2Pt2 crystal.

Lattice parameters (Å, degrees): 4.6226 5.2046 7.0168 108.05 90.00 116.37
Atoms (fractional coordinates):
1 Pt 0.5106 0.3783 0.1484
2 Pt 0.1324 0.6217 0.3516
3 Nb 0.6862 0.0000 0.2500
4 Ni 0.7330 0.7983 0.5508
5 Pt 0.8676 0.3783 0.6484
6 Ni 0.0653 0.7983 0.0508
7 Nb 0.3138 0.0000 0.7500
8 Ni 0.2670 0.2017 0.4492
9 Pt 0.4894 0.6217 0.8516
10 Ni 0.9347 0.2017 0.9492

Properties
As for the distance to the lowest polymorph of the same formula: 0 meV/atom. The calculation puts the total energy at -35.77 eV per formula unit. As for the volume: 141.9 Å³/cell. As for the calculated density: 14051 kg/m3. The calculation puts the formation energy at -411 meV per atom. Its total magnetization is 0.00 μB/atom. For the density of states at the Fermi level, the calculation gives 10.2 states/eV per cell.

---

No. 2
VASP calculation (PBE) on a relaxed Y5Ho4Tm crystal.

Lattice parameters (Å, degrees): 6.2664 7.8592 7.8592 80.85 66.51 66.51
Atoms (fractional coordinates):
1 Ho 0.4025 0.3961 0.6999
2 Ho 0.1024 0.3001 0.3961
3 Y 0.7204 0.0859 0.3794
4 Y 0.0998 0.6206 0.0859
5 Y 0.6781 0.0000 0.0000
6 Y 0.1857 0.9141 0.6206
7 Tm 0.2180 0.0000 0.0000
8 Ho 0.4985 0.6039 0.3001
9 Ho 0.7986 0.6999 0.6039
10 Y 0.8063 0.3794 0.9141

Properties
The calculation puts the total energy at -51.98 eV per formula unit. As for the volume: 325.5 Å³/cell. As for the calculated density: 6494 kg/m3. The calculation puts the formation energy at 313 meV per atom. Its total magnetization is 0.00 μB/atom. For the density of states at the Fermi level, the calculation gives 15.8 states/eV per cell.

---

No. 3
VASP calculation (PBE) on a relaxed CuAgOs2 crystal.

Lattice parameters (Å, degrees): 2.8004 2.8004 7.5653 90.00 90.00 90.00
Atoms (fractional coordinates):
1 Cu 0.5000 0.5000 0.7618
2 Ag 0.0000 0.0000 0.5112
3 Os 0.5000 0.5000 0.2230
4 Os 0.0000 0.0000 0.0039

Properties
As for the distance to the lowest polymorph of the same formula: 14 meV/atom. The calculation puts the total energy at -28.11 eV per formula unit. As for the volume: 59.3 Å³/cell. As for the calculated density: 15447 kg/m3. The calculation puts the formation energy at 323 meV per atom. Its total magnetization is 0.00 μB/atom. For the density of states at the Fermi level, the calculation gives 3.3 states/eV per cell.

---

No. 4
VASP calculation (PBE) on a relaxed CsNpGa2I8 crystal.

Lattice parameters (Å, degrees): 8.0065 8.5544 12.5794 47.29 88.87 88.68
Last column: magnetic moment on the atom in μB.
Atoms (fractional coordinates):
1 Np 0.0000 0.0000 0.0000  3.48
2 I 0.3753 0.7029 0.5031  0.00
3 I 0.1766 0.5802 0.2303  -0.06
4 I 0.6247 0.2971 0.4969  0.00
5 Ga 0.5010 0.2638 0.7334  -0.03
6 I 0.6947 0.8020 0.0010  -0.07
7 I 0.3053 0.1980 0.9990  -0.07
8 I 0.8189 0.9727 0.2248  -0.06
9 I 0.1811 0.0273 0.7752  -0.06
10 Cs 0.0000 0.0000 0.5000  0.00
11 Ga 0.4990 0.7362 0.2666  -0.03
12 I 0.8234 0.4198 0.7697  -0.06

Properties
The calculation puts the total energy at -40.78 eV per formula unit. As for the volume: 632.9 Å³/cell. As for the calculated density: 4000 kg/m3. The value obtained for the formation energy without anion corrections is -711.1 meV per atom. Its total magnetization is 0.25 μB/atom. For the density of states at the Fermi level, the calculation gives 10.8 states/eV per cell.

---

No. 5
VASP calculation (PBE) on a relaxed Be3Pt crystal.

Lattice parameters (Å, degrees): 3.8524 3.8524 3.8524 60.00 60.00 60.00
Atoms (fractional coordinates):
1 Pt 0.2500 0.2500 0.2500
2 Be 0.7500 0.7500 0.7500
3 Be 0.5000 0.5000 0.5000
4 Be 0.0000 0.0000 0.0000

Properties
The calculation puts the total energy at -18.86 eV per formula unit. As for the volume: 40.4 Å³/cell. As for the calculated density: 9124 kg/m3. The calculation puts the formation energy at -410 meV per atom. Its total magnetization is 0.00 μB/atom. For the density of states at the Fermi level, the calculation gives 1.7 states/eV per cell.

---

No. 6
VASP calculation (PBE) on a relaxed CoSbSeI2 crystal.

Lattice parameters (Å, degrees): 5.7911 5.7911 5.4744 90.00 90.00 90.00
Last column: magnetic moment on the atom in μB.
Atoms (fractional coordinates):
1 I 0.5000 0.0000 0.0000  0.06
2 Sb 0.0000 0.0000 0.5000  -0.11
3 I 0.0000 0.5000 0.0000  0.06
4 Se 0.0000 0.0000 0.0000  0.04
5 Co 0.5000 0.5000 0.5000  2.43

Properties
As for the distance to the lowest polymorph of the same formula: 641 meV/atom. The calculation puts the total energy at -12.22 eV per formula unit. As for the volume: 183.6 Å³/cell. As for the calculated density: 4644 kg/m3. The value obtained for the formation energy without anion corrections is 1118.4 meV per atom. Its total magnetization is 0.53 μB/atom. For the density of states at the Fermi level, the calculation gives 9.4 states/eV per cell.

---

No. 7
VASP calculation (PBE) on a relaxed PtRh2S crystal.

Lattice parameters (Å, degrees): 5.1463 5.1463 6.9986 68.43 68.43 90.00
Atoms (fractional coordinates):
1 S 0.5000 0.5000 0.0000
2 Rh 0.8750 0.8181 0.7500
3 Pt 0.0000 0.0000 0.0000
4 Rh 0.1819 0.6250 0.2500
5 Rh 0.5681 0.1250 0.2500
6 S 0.2500 0.7500 0.5000
7 Rh 0.3750 0.4319 0.7500
8 Pt 0.7500 0.2500 0.5000

Properties
The calculation puts the total energy at -23.64 eV per formula unit. As for the volume: 158.3 Å³/cell. As for the calculated density: 9082 kg/m3. The value obtained for the formation energy without anion corrections is 309.0 meV per atom. Its total magnetization is 0.00 μB/atom. For the density of states at the Fermi level, the calculation gives 5.6 states/eV per cell.

---

No. 8
VASP calculation (PBE) on a relaxed La7Pm2Sm3 crystal.

Lattice parameters (Å, degrees): 3.6165 6.6059 18.5621 74.92 90.00 90.00
Atoms (fractional coordinates):
1 La 0.5000 0.9466 0.8291
2 Pm 0.5000 0.6094 0.3311
3 La 0.5000 0.0534 0.1709
4 La 0.0000 0.4428 0.8332
5 La 0.0000 0.0000 0.0000
6 Sm 0.0000 0.8819 0.6630
7 La 0.5000 0.7700 0.4908
8 La 0.5000 0.2300 0.5092
9 Pm 0.5000 0.3906 0.6689
10 Sm 0.0000 0.1181 0.3370
11 Sm 0.5000 0.5000 0.0000
12 La 0.0000 0.5572 0.1668

Properties
The calculation puts the total energy at -57.43 eV per formula unit. As for the volume: 428.2 Å³/cell. As for the calculated density: 6645 kg/m3. The calculation puts the formation energy at 60 meV per atom. Its total magnetization is 0.00 μB/atom. For the density of states at the Fermi level, the calculation gives 19.0 states/eV per cell.

---

No. 9
VASP calculation (PBE) on a relaxed LiSmY2Te4 crystal.

Lattice parameters (Å, degrees): 4.3489 7.5878 7.5780 109.20 90.00 90.00
Atoms (fractional coordinates):
1 Te 0.5000 0.2412 0.2454
2 Y 0.0000 0.5000 0.5000
3 Te 0.5000 0.7588 0.7546
4 Te 0.0000 0.7588 0.2497
5 Y 0.5000 0.0000 0.5000
6 Li 0.0000 0.0000 0.0000
7 Te 0.0000 0.2412 0.7503
8 Sm 0.5000 0.5000 0.0000

Properties
The calculation puts the total energy at -42.85 eV per formula unit. As for the volume: 236.2 Å³/cell. As for the calculated density: 5945 kg/m3. The value obtained for the formation energy without anion corrections is -1340.8 meV per atom. Its total magnetization is 0.00 μB/atom. For the density of states at the Fermi level, the calculation gives 3.2 states/eV per cell.

---

No. 10
VASP calculation (PBE) on a relaxed DyY2ErSc4 crystal.

Lattice parameters (Å, degrees): 4.8858 4.8821 10.5583 62.46 90.00 90.00
Atoms (fractional coordinates):
1 Sc 0.0000 0.7497 0.7503
2 Sc 0.0000 0.2503 0.2497
3 Sc 0.5000 0.7503 0.2497
4 Sc 0.5000 0.2497 0.7503
5 Er 0.5000 0.5000 0.0000
6 Dy 0.0000 0.5000 0.5000
7 Y 0.5000 0.0000 0.5000
8 Y 0.0000 0.0000 0.0000

Properties
The calculation puts the total energy at -46.96 eV per formula unit. As for the volume: 223.3 Å³/cell. As for the calculated density: 5112 kg/m3. The calculation puts the formation energy at 57 meV per atom. Its total magnetization is 0.00 μB/atom. For the density of states at the Fermi level, the calculation gives 14.6 states/eV per cell.

---

No. 11
VASP calculation (PBE) on a relaxed Tl2ReHg crystal.

Lattice parameters (Å, degrees): 5.6530 5.6530 5.6530 136.16 136.16 63.73
Last column: magnetic moment on the atom in μB.
Atoms (fractional coordinates):
1 Tl 0.0000 0.0000 0.0000  -0.02
2 Tl 0.2500 0.7500 0.5000  -0.01
3 Re 0.7500 0.2500 0.5000  0.90
4 Hg 0.5000 0.5000 0.0000  -0.02

Properties
As for the distance to the lowest polymorph of the same formula: 296 meV/atom. The calculation puts the total energy at -13.54 eV per formula unit. As for the volume: 85.5 Å³/cell. As for the calculated density: 15447 kg/m3. The calculation puts the formation energy at 986 meV per atom. Its total magnetization is 0.24 μB/atom. For the density of states at the Fermi level, the calculation gives 1.1 states/eV per cell.

---

No. 12
VASP calculation (PBE) on a relaxed Mn2CoOs crystal.

Lattice parameters (Å, degrees): 2.8967 2.8967 6.0037 90.00 90.00 90.00
Last column: magnetic moment on the atom in μB.
Atoms (fractional coordinates):
1 Os 0.5000 0.5000 0.2500  -0.28
2 Co 0.5000 0.5000 0.7500  1.55
3 Mn 0.0000 0.0000 0.9858  2.81
4 Mn 0.0000 0.0000 0.5142  2.81

Properties
The calculation puts the total energy at -36.63 eV per formula unit. As for the volume: 50.4 Å³/cell. As for the calculated density: 11835 kg/m3. The calculation puts the formation energy at 12 meV per atom. Its total magnetization is 1.75 μB/atom. For the density of states at the Fermi level, the calculation gives 2.0 states/eV per cell.

---

No. 13
VASP calculation (PBE) on a relaxed LiScPb crystal.

Lattice parameters (Å, degrees): 4.5316 4.5316 4.5316 60.00 60.00 60.00
Atoms (fractional coordinates):
1 Sc 0.5000 0.5000 0.5000
2 Li 0.7500 0.7500 0.7500
3 Pb 0.0000 0.0000 0.0000

Properties
The calculation puts the total energy at -12.57 eV per formula unit. As for the volume: 65.8 Å³/cell. As for the calculated density: 6538 kg/m3. The calculation puts the formation energy at -206 meV per atom. Its total magnetization is 0.00 μB/atom. For the density of states at the Fermi level, the calculation gives 0.7 states/eV per cell.

---

No. 14
VASP calculation (PBE) on a relaxed CdTc2Bi crystal.

Lattice parameters (Å, degrees): 4.6949 4.6949 4.6949 60.00 60.00 60.00
Last column: magnetic moment on the atom in μB.
Atoms (fractional coordinates):
1 Tc 0.7500 0.7500 0.7500  0.93
2 Cd 0.0000 0.0000 0.0000  0.00
3 Bi 0.5000 0.5000 0.5000  -0.04
4 Tc 0.2500 0.2500 0.2500  0.93

Properties
As for the distance to the lowest polymorph of the same formula: 0 meV/atom. The calculation puts the total energy at -22.83 eV per formula unit. As for the volume: 73.2 Å³/cell. As for the calculated density: 11741 kg/m3. The calculation puts the formation energy at 676 meV per atom. Its total magnetization is 0.50 μB/atom. For the density of states at the Fermi level, the calculation gives 3.6 states/eV per cell.

---

No. 15
VASP calculation (PBE) on a relaxed K4Nd3BiS8 crystal.

Lattice parameters (Å, degrees): 8.3798 8.8396 8.3800 118.30 120.00 90.00
Atoms (fractional coordinates):
1 S 0.2360 0.7084 0.4720
2 K 0.0000 0.0000 0.0000
3 S 0.7365 0.7084 0.9725
4 S 0.7358 0.7073 0.4716
5 S 0.7640 0.2916 0.5280
6 Nd 0.0000 0.5000 0.5000
7 K 0.0000 0.0000 0.5000
8 Bi 0.0000 0.5000 0.0000
9 S 0.2635 0.2916 0.0275
10 S 0.2642 0.2927 0.5284
11 Nd 0.5000 0.5000 0.0000
12 S 0.2360 0.7084 0.9725
13 K 0.5000 0.0000 0.5000
14 Nd 0.5000 0.5000 0.5000
15 K 0.5000 0.0000 0.0000
16 S 0.7640 0.2916 0.0275

Properties
The calculation puts the total energy at -81.03 eV per formula unit. As for the volume: 449.9 Å³/cell. As for the calculated density: 3893 kg/m3. The value obtained for the formation energy without anion corrections is -1589.7 meV per atom. Its total magnetization is 0.00 μB/atom. For the density of states at the Fermi level, the calculation gives 0.0 states/eV per cell.

---

No. 16
VASP calculation (PBE) on a relaxed PrEr3Cd2 crystal.

Lattice parameters (Å, degrees): 3.6732 3.6732 12.5781 90.00 90.00 90.00
Atoms (fractional coordinates):
1 Cd 0.5000 0.5000 0.1495
2 Cd 0.5000 0.5000 0.8505
3 Pr 0.5000 0.5000 0.5000
4 Er 0.0000 0.0000 0.0000
5 Er 0.0000 0.0000 0.2998
6 Er 0.0000 0.0000 0.7002

Properties
As for the distance to the lowest polymorph of the same formula: 0 meV/atom. The calculation puts the total energy at -21.51 eV per formula unit. As for the volume: 169.7 Å³/cell. As for the calculated density: 8488 kg/m3. The calculation puts the formation energy at -202 meV per atom. Its total magnetization is 0.00 μB/atom. For the density of states at the Fermi level, the calculation gives 6.7 states/eV per cell.

---

No. 17
VASP calculation (PBE) on a relaxed BeFeAg2 crystal.

Lattice parameters (Å, degrees): 5.1884 5.1884 5.1884 148.75 128.71 61.30
Last column: magnetic moment on the atom in μB.
Atoms (fractional coordinates):
1 Be 0.4925 0.4925 0.0000  -0.06
2 Ag 0.7177 0.2177 0.5000  0.02
3 Ag 0.0050 0.0050 0.0000  0.01
4 Fe 0.2847 0.7847 0.5000  2.68

Properties
The calculation puts the total energy at -16.65 eV per formula unit. As for the volume: 56.0 Å³/cell. As for the calculated density: 8316 kg/m3. The calculation puts the formation energy at 311 meV per atom. Its total magnetization is 0.65 μB/atom. For the density of states at the Fermi level, the calculation gives 2.5 states/eV per cell.

---

No. 18
VASP calculation (PBE) on a relaxed CsPtNF2 crystal.

Lattice parameters (Å, degrees): 4.9062 4.9062 3.6950 90.00 90.00 90.00
Atoms (fractional coordinates):
1 Pt 0.0000 0.0000 0.0000
2 F 0.5000 0.0000 0.0000
3 Cs 0.5000 0.5000 0.5000
4 N 0.0000 0.0000 0.5000
5 F 0.0000 0.5000 0.0000

Properties
As for the distance to the lowest polymorph of the same formula: 0 meV/atom. The calculation puts the total energy at -23.46 eV per formula unit. As for the volume: 88.9 Å³/cell. As for the calculated density: 7094 kg/m3. The value obtained for the formation energy without anion corrections is -899.7 meV per atom. Its total magnetization is 0.00 μB/atom. For the density of states at the Fermi level, the calculation gives 2.1 states/eV per cell.

---

No. 19
VASP calculation (PBE) on a relaxed NdReTc2 crystal.

Lattice parameters (Å, degrees): 3.9417 5.5757 4.8198 126.07 90.00 90.00
Atoms (fractional coordinates):
1 Re 0.5000 0.0000 0.0000
2 Tc 0.0000 0.7756 0.6292
3 Nd 0.5000 0.5000 0.0000
4 Tc 0.0000 0.2244 0.3708

Properties
The calculation puts the total energy at -35.40 eV per formula unit. As for the volume: 85.6 Å³/cell. As for the calculated density: 10209 kg/m3. The calculation puts the formation energy at 637 meV per atom. Its total magnetization is 0.00 μB/atom. For the density of states at the Fermi level, the calculation gives 3.2 states/eV per cell.

---

No. 20
VASP calculation (PBE) on a relaxed KCr2InNi crystal.

Lattice parameters (Å, degrees): 5.2165 4.5385 5.2165 90.00 90.00 90.00
Last column: magnetic moment on the atom in μB.
Atoms (fractional coordinates):
1 Cr 0.5000 0.0000 0.0000  4.13
2 Ni 0.0000 0.5000 0.0000  0.12
3 K 0.0000 0.0000 0.0000  0.11
4 Cr 0.0000 0.0000 0.5000  4.07
5 In 0.5000 0.5000 0.5000  -0.07

Properties
The calculation puts the total energy at -19.12 eV per formula unit. As for the volume: 123.5 Å³/cell. As for the calculated density: 4257 kg/m3. The calculation puts the formation energy at 1949 meV per atom. Its total magnetization is 1.87 μB/atom. For the density of states at the Fermi level, the calculation gives 3.5 states/eV per cell.